VASP calculation (PBE-GGA) on crystalline La3Mo at its relaxed geometry.

abc: 3.673 3.673 10.498
angles: 90.00 90.00 120.00
Atoms (fractional coordinates):
La1 0.000 0.000 0.000
La2 0.667 0.333 0.299
La3 0.667 0.333 0.701
Mo1 0.000 0.000 0.500

Results
energy relative to the elements	46.3	kJ per mole of atoms
spin magnetization	0.0	μB/f.u.

VASP calculation (PBE-GGA) on crystalline CsRb6I8 at its relaxed geometry.

abc: 12.913 12.913 5.732
angles: 90.00 90.00 120.00
Atoms (fractional coordinates):
Cs1 0.000 0.000 0.000
Rb1 0.122 0.650 0.256
Rb2 0.350 0.472 0.256
Rb3 0.472 0.122 0.744
Rb4 0.528 0.878 0.256
Rb5 0.650 0.528 0.744
Rb6 0.878 0.350 0.744
I1 0.030 0.319 0.243
I2 0.289 0.970 0.243
I3 0.319 0.289 0.757
I4 0.333 0.667 0.755
I5 0.667 0.333 0.245
I6 0.681 0.711 0.243
I7 0.711 0.030 0.757
I8 0.970 0.681 0.757

Results
energy relative to the elements, uncorrected	-1.2812	eV/atom
spin magnetization	0.7	μB/f.u.

VASP calculation (PBE-GGA) on crystalline PrDy5Cu6 at its relaxed geometry.

abc: 7.855 7.855 6.933
angles: 90.00 90.00 143.25
Atoms (fractional coordinates):
Pr1 0.000 0.000 0.000
Dy1 0.000 0.000 0.500
Dy2 0.332 0.668 0.000
Dy3 0.334 0.666 0.500
Dy4 0.666 0.334 0.500
Dy5 0.668 0.332 0.000
Cu1 0.171 0.829 0.254
Cu2 0.171 0.829 0.746
Cu3 0.500 0.500 0.265
Cu4 0.500 0.500 0.735
Cu5 0.829 0.171 0.254
Cu6 0.829 0.171 0.746

Results
energy relative to the elements	-22.1	kJ per mole of atoms
spin magnetization	0.0	μB/f.u.

VASP calculation (PBE-GGA) on crystalline GeRuN at its relaxed geometry.

abc: 5.350 5.350 6.461
angles: 125.12 125.12 31.74
Atoms (fractional coordinates):
Ge1 0.000 0.000 0.000
Ge2 0.165 0.165 0.604
Ru1 0.416 0.416 0.612
Ru2 0.863 0.863 0.212
N1 0.237 0.237 0.235
N2 0.674 0.674 0.806

Results
energy relative to the elements, uncorrected	0.1062	eV/atom
spin magnetization	0.0	μB/f.u.

VASP calculation (PBE-GGA) on crystalline Li2AcNdCd4 at its relaxed geometry.

abc: 9.528 9.528 9.528
angles: 31.53 31.53 31.53
Atoms (fractional coordinates):
Li1 0.244 0.244 0.244
Li2 0.756 0.756 0.756
Ac1 0.000 0.000 0.000
Nd1 0.500 0.500 0.500
Cd1 0.125 0.125 0.125
Cd2 0.386 0.386 0.386
Cd3 0.614 0.614 0.614
Cd4 0.875 0.875 0.875

Results
energy relative to the elements	-23.8	kJ per mole of atoms
spin magnetization	0.0	μB/f.u.

VASP calculation (PBE-GGA) on crystalline Sr2AgSn3Rh4 at its relaxed geometry.

abc: 4.470 4.470 11.127
angles: 90.00 90.00 90.00
Atoms (fractional coordinates):
Sr1 0.000 0.500 0.247
Sr2 0.500 0.000 0.753
Ag1 0.500 0.500 0.000
Sn1 0.000 0.000 0.000
Sn2 0.000 0.500 0.626
Sn3 0.500 0.000 0.374
Rh1 0.000 0.000 0.500
Rh2 0.000 0.500 0.861
Rh3 0.500 0.000 0.139
Rh4 0.500 0.500 0.500

Results
energy relative to the elements	-50.0	kJ per mole of atoms
spin magnetization	0.0	μB/f.u.

VASP calculation (PBE-GGA) on crystalline HgSeBr2F at its relaxed geometry.

abc: 5.818 5.818 3.911
angles: 90.00 90.00 90.00
Atoms (fractional coordinates):
Hg1 0.000 0.000 0.000
Se1 0.500 0.500 0.000
Br1 0.000 0.500 0.500
Br2 0.500 0.000 0.500
F1 0.500 0.500 0.500

Results
energy relative to the elements, uncorrected	0.0786	eV/atom
spin magnetization	1.3	μB/f.u.

VASP calculation (PBE-GGA) on crystalline TmLu2Tl at its relaxed geometry.

abc: 3.548 3.548 8.955
angles: 90.00 90.00 90.00
Atoms (fractional coordinates):
Tm1 0.000 0.000 0.000
Lu1 0.500 0.500 0.267
Lu2 0.500 0.500 0.733
Tl1 0.000 0.000 0.500

Results
energy relative to the elements	-15.2	kJ per mole of atoms
spin magnetization	0.0	μB/f.u.